Here is ScVSbO6 after structural relaxation from Alexandria. Energies are from GGA+U.

```
ScVSbO6
1.0
5.137 0.000 0.000
-2.569 4.449 0.000
0.000 0.000 9.199
O V Sc Sb
12 2 2 2
direct
0.656 0.649 0.634
0.007 0.656 0.366
0.649 0.993 0.366
0.993 0.344 0.634
0.007 0.351 0.134
0.344 0.351 0.366
0.351 0.344 0.866
0.993 0.649 0.866
0.351 0.007 0.634
0.649 0.656 0.134
0.344 0.993 0.134
0.656 0.007 0.866
0.333 0.667 0.250
0.667 0.333 0.750
0.000 0.000 0.000
0.000 0.000 0.500
0.333 0.667 0.750
0.667 0.333 0.250
```

D(E_F) (states/eV per cell): 6.630
Space group: No. 163
E (eV/atom): -7.43